No. 1
The following is a GGA-PBE calculation of crystalline BaNaLaMg at its relaxed geometry, from Alexandria via LeMat-Bulk.

Cell: 6.0380 6.0380 6.0380 Å, 60.00 60.00 60.00°
Sites, in units of the cell vectors:
Mg 0.2500 0.2500 0.2500
La 0.0000 0.0000 0.0000
Ba 0.5000 0.5000 0.5000
Na 0.7500 0.7500 0.7500

Summary:
As for the size of the total moment: 0.0006 μB/atom. The total energy comes out at -2.310 eV per atom. As for the energy of formation from the pure elements: 131 meV/atom.

No. 2
The following is a GGA-PBE calculation of crystalline RbTcAu3 at its relaxed geometry, from Alexandria via LeMat-Bulk.

Cell: 5.7198 5.7198 5.7198 Å, 90.00 90.00 90.00°
Last column: magnetic moment on the atom in μB.
Sites, in units of the cell vectors:
Tc 0.5000 0.5000 0.5000  4.06
Rb 0.0000 0.0000 0.0000  -0.01
Au 0.5000 0.0000 0.0000  -0.04
Au 0.0000 0.0000 0.5000  0.10
Au 0.0000 0.5000 0.0000  0.04

Summary:
The calculation puts the distance to the lowest polymorph of the same formula at 1.455 eV/atom. As for the size of the total moment: 0.9950 μB/atom. The total energy comes out at -2.268 eV per atom. As for the energy of formation from the pure elements: 1965 meV/atom.

No. 3
The following is a GGA-PBE calculation of crystalline NbTc2MoC at its relaxed geometry, from Alexandria via LeMat-Bulk.

Cell: 4.7439 4.0020 4.7439 Å, 90.00 90.00 90.00°
Sites, in units of the cell vectors:
Nb 0.0000 0.0000 0.0000
Tc 0.0000 0.0000 0.5000
Tc 0.5000 0.0000 0.0000
Mo 0.5000 0.5000 0.5000
C 0.0000 0.5000 0.0000

Summary:
The calculation puts the distance to the lowest polymorph of the same formula at 2.211 eV/atom. As for the size of the total moment: 0.0000 μB/atom. The total energy comes out at -7.990 eV per atom. As for the energy of formation from the pure elements: 2181 meV/atom.

No. 4
The following is a GGA-PBE calculation of crystalline VCdH at its relaxed geometry, from Alexandria via LeMat-Bulk.

Cell: 2.8573 2.9290 11.1995 Å, 97.37 94.28 120.81°
Sites, in units of the cell vectors:
H 0.6992 0.7082 0.5845
H 0.1519 0.2800 0.2640
V 0.8713 0.6764 0.3379
V 0.9827 0.3160 0.5162
Cd 0.0205 0.1106 0.0578
Cd 0.4978 0.2060 0.7809

Summary:
The calculation puts the distance to the lowest polymorph of the same formula at 0.030 eV/atom. As for the size of the total moment: 0.0000 μB/atom. The total energy comes out at -4.463 eV per atom.